one) # SnBiTe2N

An optimized crystal structure of SnBiTe2N (GGA-PBE, the Alexandria database).

Results
Mass density in kg/m3: 6271
Space-group type: P4/mmm (123)
Crystal system: tetragonal

Unit cell a=6.0019 b=6.0019 c=4.3879 alpha=90.00 beta=90.00 gamma=90.00
Last column: nearest neighbours and their distance in Å.
Sites, in units of the cell vectors:
N  0.0000  0.0000  0.5000  2 Bi 2.19
Te  0.0000  0.5000  0.0000  2 Bi 3.00
Te  0.5000  0.0000  0.0000  2 Bi 3.00
Bi  0.0000  0.0000  0.0000  2 N 2.19
Sn  0.5000  0.5000  0.5000  8 Te 3.72



two) # SnBiTe2N

An optimized crystal structure of SnBiTe2N (GGA-PBE, the Alexandria database).

Results
Mass density in kg/m3: 7172
Space-group type: P4/mmm (123)
Crystal system: tetragonal

Unit cell a=5.9159 b=5.9159 c=3.9486 alpha=90.00 beta=90.00 gamma=90.00
Last column: nearest neighbours and their distance in Å.
Sites, in units of the cell vectors:
N  0.0000  0.0000  0.5000  2 Sn 1.97
Te  0.0000  0.5000  0.0000  2 Sn 2.96
Te  0.5000  0.0000  0.0000  2 Sn 2.96
Bi  0.5000  0.5000  0.5000  8 Te 3.56, 2 Bi 3.95
Sn  0.0000  0.0000  0.0000  2 N 1.97



The energy of each structure relative to the most stable one, in kJ/mol of atoms, is as follows: one) 18.6; two) 0.0.



one) # SrBiTe2N

An optimized crystal structure of SrBiTe2N (GGA-PBE, the Alexandria database).

Results
Mass density in kg/m3: 5779
Space-group type: P4/mmm (123)
Crystal system: tetragonal

Unit cell a=6.0272 b=6.0272 c=4.4757 alpha=90.00 beta=90.00 gamma=90.00
Last column: nearest neighbours and their distance in Å.
Sites, in units of the cell vectors:
Sr  0.5000  0.5000  0.5000  8 Te 3.75
Te  0.0000  0.5000  0.0000  2 Bi 3.01
Te  0.5000  0.0000  0.0000  2 Bi 3.01
Bi  0.0000  0.0000  0.0000  2 N 2.24
N  0.0000  0.0000  0.5000  2 Bi 2.24



two) # SrBiTe2N

An optimized crystal structure of SrBiTe2N (GGA-PBE, the Alexandria database).

Results
Mass density in kg/m3: 5212
Space-group type: P4/mmm (123)
Crystal system: tetragonal

Unit cell a=6.1889 b=6.1889 c=4.7061 alpha=90.00 beta=90.00 gamma=90.00
Last column: nearest neighbours and their distance in Å.
Sites, in units of the cell vectors:
Sr  0.0000  0.0000  0.0000  2 N 2.35
Te  0.0000  0.5000  0.0000  2 Sr 3.09
Te  0.5000  0.0000  0.0000  2 Sr 3.09
Bi  0.5000  0.5000  0.5000  8 Te 3.89
N  0.0000  0.0000  0.5000  2 Sr 2.35



The energy of each structure relative to the most stable one, in kJ/mol of atoms, is as follows: one) 0.0; two) 51.8.



one) # TaBi3N

An optimized crystal structure of TaBi3N (GGA-PBE, the Alexandria database).

Results
Mass density in kg/m3: 8561
Space-group type: Pm-3m (221)
Crystal system: cubic

Unit cell a=5.4222 b=5.4222 c=5.4222 alpha=90.00 beta=90.00 gamma=90.00
Last column: nearest neighbours and their distance in Å.
Sites, in units of the cell vectors:
N  0.5000  0.5000  0.5000  12 Bi 3.83
Bi  0.0000  0.5000  0.0000  2 Ta 2.71
Bi  0.0000  0.0000  0.5000  2 Ta 2.71
Bi  0.5000  0.0000  0.0000  2 Ta 2.71
Ta  0.0000  0.0000  0.0000  6 Bi 2.71



two) # TaBi3N

An optimized crystal structure of TaBi3N (GGA-PBE, the Alexandria database).

Results
Mass density in kg/m3: 11990
Space-group type: Pm-3m (221)
Crystal system: cubic

Unit cell a=4.8463 b=4.8463 c=4.8463 alpha=90.00 beta=90.00 gamma=90.00
Last column: nearest neighbours and their distance in Å.
Sites, in units of the cell vectors:
N  0.0000  0.0000  0.0000  6 Bi 2.42
Bi  0.0000  0.5000  0.0000  2 N 2.42
Bi  0.0000  0.0000  0.5000  2 N 2.42
Bi  0.5000  0.0000  0.0000  2 N 2.42
Ta  0.5000  0.5000  0.5000  12 Bi 3.43



The energy of each structure relative to the most stable one, in kJ/mol of atoms, is as follows: one) 65.4; two) 0.0.



one) # TaBiTeN2

An optimized crystal structure of TaBiTeN2 (GGA-PBE, the Alexandria database).

Results
Mass density in kg/m3: 8461
Space-group type: P4/mmm (123)
Crystal system: tetragonal

Unit cell a=4.2635 b=4.2635 c=5.8904 alpha=90.00 beta=90.00 gamma=90.00
Last column: nearest neighbours and their distance in Å.
Sites, in units of the cell vectors:
N  0.0000  0.5000  0.0000  2 Bi 2.13
N  0.5000  0.0000  0.0000  2 Bi 2.13
Te  0.0000  0.0000  0.5000  2 Bi 2.95, 4 Ta 3.01
Bi  0.0000  0.0000  0.0000  4 N 2.13
Ta  0.5000  0.5000  0.5000  4 Te 3.01



two) # TaBiTeN2

An optimized crystal structure of TaBiTeN2 (GGA-PBE, the Alexandria database).

Results
Mass density in kg/m3: 9083
Space-group type: P4/mmm (123)
Crystal system: tetragonal

Unit cell a=4.1884 b=4.1884 c=5.6853 alpha=90.00 beta=90.00 gamma=90.00
Last column: nearest neighbours and their distance in Å.
Sites, in units of the cell vectors:
N  0.0000  0.5000  0.0000  2 Ta 2.09
N  0.5000  0.0000  0.0000  2 Ta 2.09
Te  0.0000  0.0000  0.5000  2 Ta 2.84, 4 Bi 2.96
Bi  0.5000  0.5000  0.5000  4 Te 2.96
Ta  0.0000  0.0000  0.0000  4 N 2.09



The energy of each structure relative to the most stable one, in kJ/mol of atoms, is as follows: one) 163.0; two) 0.0.



one) # Tb2BiN

An optimized crystal structure of Tb2BiN (GGA-PBE, the Alexandria database).

Results
Mass density in kg/m3: 9248
Space-group type: R-3m (166)
Crystal system: trigonal

Unit cell a=3.5260 b=3.5260 c=9.2463 alpha=79.01 beta=79.01 gamma=60.00
Last column: nearest neighbours and their distance in Å.
Sites, in units of the cell vectors:
Tb  0.1177  0.1177  0.6470  3 N 2.43
Tb  0.8823  0.8823  0.3530  3 N 2.43
Bi  0.0000  0.0000  0.0000  2 Tb 3.18, 6 Bi 3.53
N  0.5000  0.5000  0.5000  6 Tb 2.43



two) # Tb2BiN

An optimized crystal structure of Tb2BiN (GGA-PBE, the Alexandria database).

Results
Mass density in kg/m3: 9346
Space-group type: P4/nmm (129)
Crystal system: tetragonal

Unit cell a=4.5891 b=4.5891 c=9.1259 alpha=90.02 beta=90.02 gamma=90.00
Last column: nearest neighbours and their distance in Å.
Sites, in units of the cell vectors:
Tb  0.7503  0.7503  0.8190  1 N 2.21
Tb  0.7500  0.2500  0.5000  4 N 2.40
Tb  0.2497  0.2497  0.1810  1 N 2.21
Tb  0.2500  0.7500  0.5000  4 N 2.40
Bi  0.2503  0.2503  0.8123  5 Tb 3.25-3.37, 1 N 3.55
Bi  0.7497  0.7497  0.1877  5 Tb 3.25-3.37, 1 N 3.55
N  0.2499  0.2499  0.4235  5 Tb 2.21-2.40
N  0.7501  0.7501  0.5765  5 Tb 2.21-2.40



three) # Tb2BiN

An optimized crystal structure of Tb2BiN (GGA-PBE, the Alexandria database).

Results
Mass density in kg/m3: 10969
Space-group type: P4/mmm (123)
Crystal system: tetragonal

Unit cell a=3.2265 b=3.2265 c=7.8648 alpha=90.00 beta=90.00 gamma=90.00
Last column: nearest neighbours and their distance in Å.
Sites, in units of the cell vectors:
Tb  0.0000  0.0000  0.8171  4 N 2.70, 1 Tb 2.88
Tb  0.0000  0.0000  0.1829  4 N 2.70, 1 Tb 2.88
Bi  0.5000  0.5000  0.5000  4 Bi 3.23, 8 Tb 3.38
N  0.5000  0.5000  0.0000  8 Tb 2.70



The energy of each structure relative to the most stable one, in kJ/mol of atoms, is as follows: one) 41.4; two) 0.0; three) 73.1.